No. 1
{"formula": "ThScZnPb", "functional": "GGA-PBE", "state": "optimized geometry", "vol_a3_per_atom": 25.25, "spacegroup": "No. 216", "magmom_total_mub_per_atom": 0.00, "dos_at_fermi_per_ev_atom": 1.025, "e_form_kj_per_mol_fu": -70.7, "energy_ev_per_cell": -19.47, "cell": [[0.0000, 3.6965, 3.6965], [3.6965, 0.0000, 3.6965], [3.6965, 3.6965, 0.0000]], "species": ["Th", "Sc", "Zn", "Pb"], "frac_coords": [[0.0000, 0.0000, 0.0000], [0.5000, 0.5000, 0.5000], [0.7500, 0.7500, 0.7500], [0.2500, 0.2500, 0.2500]]}

---

No. 2
{"formula": "Sc2Ti2Pb", "functional": "GGA-PBE", "state": "optimized geometry", "vol_a3_per_atom": 23.26, "spacegroup": "No. 139", "magmom_total_mub_per_atom": 0.24, "dos_at_fermi_per_ev_atom": 1.388, "e_form_kj_per_mol_fu": 115.7, "energy_ev_per_cell": -30.96, "e_above_lowest_polymorph_ev_per_atom": 0.255, "cell": [[-1.7538, 1.7538, 9.4520], [1.7538, -1.7538, 9.4520], [1.7538, 1.7538, -9.4520]], "species": ["Sc", "Sc", "Ti", "Ti", "Pb"], "frac_coords": [[0.1100, 0.1100, 0.0000], [0.8900, 0.8900, 0.0000], [0.2500, 0.7500, 0.5000], [0.7500, 0.2500, 0.5000], [0.5000, 0.5000, 0.0000]]}

---

No. 3
{"formula": "ScTiPb3", "functional": "GGA-PBE", "state": "optimized geometry", "vol_a3_per_atom": 30.83, "spacegroup": "No. 221", "magmom_total_mub_per_atom": 0.00, "dos_at_fermi_per_ev_atom": 1.485, "e_form_kj_per_mol_fu": 178.7, "energy_ev_per_cell": -23.50, "e_above_lowest_polymorph_ev_per_atom": 0.000, "cell": [[5.3621, 0.0000, 0.0000], [0.0000, 5.3621, 0.0000], [0.0000, 0.0000, 5.3621]], "species": ["Sc", "Ti", "Pb", "Pb", "Pb"], "frac_coords": [[0.0000, 0.0000, 0.0000], [0.5000, 0.5000, 0.5000], [0.0000, 0.5000, 0.5000], [0.5000, 0.0000, 0.5000], [0.5000, 0.5000, 0.0000]]}

---

No. 4
{"formula": "Sc2TiPb", "functional": "GGA-PBE", "state": "optimized geometry", "vol_a3_per_atom": 23.56, "spacegroup": "No. 122", "magmom_total_mub_per_atom": 0.29, "dos_at_fermi_per_ev_atom": 1.044, "e_form_kj_per_mol_fu": 109.0, "energy_ev_per_cell": -46.27, "cell": [[-3.9795, 3.9795, 2.9756], [3.9795, -3.9795, 2.9756], [3.9795, 3.9795, -2.9756]], "species": ["Sc", "Sc", "Sc", "Sc", "Ti", "Ti", "Pb", "Pb"], "frac_coords": [[0.1176, 0.6250, 0.9926], [0.3750, 0.3676, 0.4926], [0.6324, 0.1250, 0.0074], [0.8750, 0.8824, 0.5074], [0.0000, 0.0000, 0.0000], [0.7500, 0.2500, 0.5000], [0.2500, 0.7500, 0.5000], [0.5000, 0.5000, 0.0000]]}

---

No. 5
{"formula": "Sc2TiPb", "functional": "GGA-PBE", "state": "optimized geometry", "vol_a3_per_atom": 24.63, "spacegroup": "No. 166", "magmom_total_mub_per_atom": 0.00, "dos_at_fermi_per_ev_atom": 1.733, "e_form_kj_per_mol_fu": 62.5, "energy_ev_per_cell": -23.62, "cell": [[1.6249, 0.9381, 10.7739], [-1.6249, 0.9381, 10.7739], [0.0000, -1.8762, 10.7739]], "species": ["Sc", "Sc", "Ti", "Pb"], "frac_coords": [[0.0946, 0.0946, 0.0946], [0.9054, 0.9054, 0.9054], [0.5000, 0.5000, 0.5000], [0.0000, 0.0000, 0.0000]]}

---

No. 6
{"formula": "Sc2TiPb2", "functional": "GGA-PBE", "state": "optimized geometry", "vol_a3_per_atom": 24.50, "spacegroup": "No. 127", "magmom_total_mub_per_atom": 0.54, "dos_at_fermi_per_ev_atom": 1.022, "e_form_kj_per_mol_fu": 31.5, "energy_ev_per_cell": -55.30, "e_above_lowest_polymorph_ev_per_atom": 0.245, "cell": [[8.4925, 0.0000, 0.0000], [0.0000, 8.4925, 0.0000], [0.0000, 0.0000, 3.3977]], "species": ["Sc", "Sc", "Sc", "Sc", "Ti", "Ti", "Pb", "Pb", "Pb", "Pb"], "frac_coords": [[0.1262, 0.3738, 0.0000], [0.3738, 0.8738, 0.0000], [0.6262, 0.1262, 0.0000], [0.8738, 0.6262, 0.0000], [0.0000, 0.0000, 0.0000], [0.5000, 0.5000, 0.0000], [0.1754, 0.6754, 0.5000], [0.3246, 0.1754, 0.5000], [0.6754, 0.8246, 0.5000], [0.8246, 0.3246, 0.5000]]}

---

No. 7
{"formula": "Sc2TiPb", "functional": "GGA-PBE", "state": "optimized geometry", "vol_a3_per_atom": 22.21, "spacegroup": "No. 123", "magmom_total_mub_per_atom": 0.83, "dos_at_fermi_per_ev_atom": 0.885, "e_form_kj_per_mol_fu": -63.1, "energy_ev_per_cell": -24.92, "cell": [[4.6188, 0.0000, 0.0000], [0.0000, 4.6188, 0.0000], [0.0000, 0.0000, 4.1651]], "species": ["Sc", "Sc", "Ti", "Pb"], "frac_coords": [[0.0000, 0.5000, 0.0000], [0.5000, 0.0000, 0.0000], [0.0000, 0.0000, 0.5000], [0.5000, 0.5000, 0.5000]]}

---

No. 8
{"formula": "Sc2Ti2Pb", "functional": "GGA-PBE", "state": "optimized geometry", "vol_a3_per_atom": 21.99, "spacegroup": "No. 127", "magmom_total_mub_per_atom": 0.00, "dos_at_fermi_per_ev_atom": 0.785, "e_form_kj_per_mol_fu": 83.7, "energy_ev_per_cell": -62.59, "e_above_lowest_polymorph_ev_per_atom": 0.189, "cell": [[7.5568, 0.0000, 0.0000], [0.0000, 7.5568, 0.0000], [0.0000, 0.0000, 3.8516]], "species": ["Sc", "Sc", "Sc", "Sc", "Ti", "Ti", "Ti", "Ti", "Pb", "Pb"], "frac_coords": [[0.1449, 0.3551, 0.0000], [0.3551, 0.8551, 0.0000], [0.6449, 0.1449, 0.0000], [0.8551, 0.6449, 0.0000], [0.1415, 0.6415, 0.5000], [0.3585, 0.1415, 0.5000], [0.6415, 0.8585, 0.5000], [0.8585, 0.3585, 0.5000], [0.0000, 0.0000, 0.0000], [0.5000, 0.5000, 0.0000]]}

---

No. 9
{"formula": "Sc2TiPb2", "functional": "GGA-PBE", "state": "optimized geometry", "vol_a3_per_atom": 23.75, "spacegroup": "No. 127", "magmom_total_mub_per_atom": 0.19, "dos_at_fermi_per_ev_atom": 1.203, "e_form_kj_per_mol_fu": -86.5, "energy_ev_per_cell": -57.74, "e_above_lowest_polymorph_ev_per_atom": 0.000, "cell": [[7.5581, 0.0000, 0.0000], [0.0000, 7.5581, 0.0000], [0.0000, 0.0000, 4.1572]], "species": ["Sc", "Sc", "Sc", "Sc", "Ti", "Ti", "Pb", "Pb", "Pb", "Pb"], "frac_coords": [[0.1644, 0.3356, 0.0000], [0.3356, 0.8356, 0.0000], [0.6644, 0.1644, 0.0000], [0.8356, 0.6644, 0.0000], [0.0000, 0.0000, 0.5000], [0.5000, 0.5000, 0.5000], [0.1446, 0.6446, 0.5000], [0.3554, 0.1446, 0.5000], [0.6446, 0.8554, 0.5000], [0.8554, 0.3554, 0.5000]]}

---

No. 10
{"formula": "Sc2Ti2Pb", "functional": "GGA-PBE", "state": "optimized geometry", "vol_a3_per_atom": 21.67, "spacegroup": "No. 127", "magmom_total_mub_per_atom": 0.00, "dos_at_fermi_per_ev_atom": 0.842, "e_form_kj_per_mol_fu": -7.6, "energy_ev_per_cell": -64.48, "e_above_lowest_polymorph_ev_per_atom": 0.000, "cell": [[7.3229, 0.0000, 0.0000], [0.0000, 7.3229, 0.0000], [0.0000, 0.0000, 4.0420]], "species": ["Sc", "Sc", "Sc", "Sc", "Ti", "Ti", "Ti", "Ti", "Pb", "Pb"], "frac_coords": [[0.1585, 0.3415, 0.0000], [0.3415, 0.8415, 0.0000], [0.6585, 0.1585, 0.0000], [0.8415, 0.6585, 0.0000], [0.1311, 0.6311, 0.5000], [0.3689, 0.1311, 0.5000], [0.6311, 0.8689, 0.5000], [0.8689, 0.3689, 0.5000], [0.0000, 0.0000, 0.5000], [0.5000, 0.5000, 0.5000]]}

---

No. 11
{"formula": "ScTlPb2", "functional": "GGA-PBE", "state": "optimized geometry", "vol_a3_per_atom": 28.82, "spacegroup": "No. 166", "magmom_total_mub_per_atom": 0.00, "dos_at_fermi_per_ev_atom": 0.742, "e_form_kj_per_mol_fu": -22.6, "energy_ev_per_cell": -16.35, "cell": [[1.7896, 1.0332, 10.3921], [-1.7896, 1.0332, 10.3921], [0.0000, -2.0664, 10.3921]], "species": ["Sc", "Tl", "Pb", "Pb"], "frac_coords": [[0.0000, 0.0000, 0.0000], [0.5000, 0.5000, 0.5000], [0.2557, 0.2557, 0.2557], [0.7443, 0.7443, 0.7443]]}

---

No. 12
{"formula": "ScTlPb2", "functional": "GGA-PBE", "state": "optimized geometry", "vol_a3_per_atom": 27.61, "spacegroup": "No. 47", "magmom_total_mub_per_atom": 0.00, "dos_at_fermi_per_ev_atom": 0.556, "e_form_kj_per_mol_fu": -23.8, "energy_ev_per_cell": -16.36, "cell": [[3.5979, 0.0000, 0.0000], [0.0000, 5.4603, 0.0000], [0.0000, 0.0000, 5.6224]], "species": ["Sc", "Tl", "Pb", "Pb"], "frac_coords": [[0.0000, 0.0000, 0.0000], [0.5000, 0.0000, 0.5000], [0.0000, 0.5000, 0.5000], [0.5000, 0.5000, 0.0000]]}

---

No. 13
{"formula": "ScTlPb2", "functional": "GGA-PBE", "state": "optimized geometry", "vol_a3_per_atom": 27.51, "spacegroup": "No. 65", "magmom_total_mub_per_atom": 0.00, "dos_at_fermi_per_ev_atom": 0.728, "e_form_kj_per_mol_fu": -41.1, "energy_ev_per_cell": -16.54, "cell": [[3.5699, -4.4312, 0.0000], [3.5699, 4.4312, 0.0000], [0.0000, 0.0000, 3.4782]], "species": ["Sc", "Tl", "Pb", "Pb"], "frac_coords": [[0.0000, 0.0000, 0.0000], [0.5000, 0.5000, 0.0000], [0.0000, 0.5000, 0.5000], [0.5000, 0.0000, 0.5000]]}

---

No. 14
{"formula": "ScTlPb2", "functional": "GGA-PBE", "state": "optimized geometry", "vol_a3_per_atom": 27.76, "spacegroup": "No. 12", "magmom_total_mub_per_atom": 0.00, "dos_at_fermi_per_ev_atom": 0.850, "e_form_kj_per_mol_fu": -26.8, "energy_ev_per_cell": -16.39, "cell": [[5.9510, -1.7507, 0.0000], [5.9510, 1.7507, 0.0000], [-1.5168, 0.0000, 5.3289]], "species": ["Sc", "Tl", "Pb", "Pb"], "frac_coords": [[0.0000, 0.0000, 0.0000], [0.5000, 0.5000, 0.5000], [0.2643, 0.2643, 0.7632], [0.7357, 0.7357, 0.2368]]}

---

No. 15
{"formula": "Sc6Tl5Pb", "functional": "GGA-PBE", "state": "optimized geometry", "vol_a3_per_atom": 23.64, "spacegroup": "No. 12", "magmom_total_mub_per_atom": 0.00, "dos_at_fermi_per_ev_atom": 0.735, "e_form_kj_per_mol_fu": -292.9, "energy_ev_per_cell": -56.56, "e_above_lowest_polymorph_ev_per_atom": 0.000, "cell": [[4.3963, -7.7185, 0.0000], [4.3963, 7.7185, 0.0000], [-3.0150, 0.0000, 4.1796]], "species": ["Sc", "Sc", "Sc", "Sc", "Sc", "Sc", "Tl", "Tl", "Tl", "Tl", "Tl", "Pb"], "frac_coords": [[0.0831, 0.4161, 0.7497], [0.2493, 0.2493, 0.2494], [0.4161, 0.0831, 0.7497], [0.5839, 0.9169, 0.2503], [0.7507, 0.7507, 0.7506], [0.9169, 0.5839, 0.2503], [0.1695, 0.8305, 0.0000], [0.3338, 0.6662, 0.5000], [0.5000, 0.5000, 0.0000], [0.6662, 0.3338, 0.5000], [0.8305, 0.1695, 0.0000], [0.0000, 0.0000, 0.5000]]}

---

No. 16
{"formula": "ScTlPb", "functional": "GGA-PBE", "state": "optimized geometry", "vol_a3_per_atom": 30.64, "spacegroup": "No. 216", "magmom_total_mub_per_atom": 0.00, "dos_at_fermi_per_ev_atom": 1.020, "e_form_kj_per_mol_fu": 53.5, "energy_ev_per_cell": -11.85, "e_above_lowest_polymorph_ev_per_atom": 0.381, "cell": [[0.0000, 3.5820, 3.5820], [3.5820, 0.0000, 3.5820], [3.5820, 3.5820, 0.0000]], "species": ["Sc", "Tl", "Pb"], "frac_coords": [[0.0000, 0.0000, 0.0000], [0.7500, 0.7500, 0.7500], [0.5000, 0.5000, 0.5000]]}

---

No. 17
{"formula": "Sc2Tl2Pb", "functional": "GGA-PBE", "state": "optimized geometry", "vol_a3_per_atom": 25.93, "spacegroup": "No. 127", "magmom_total_mub_per_atom": 0.00, "dos_at_fermi_per_ev_atom": 0.759, "e_form_kj_per_mol_fu": -52.9, "energy_ev_per_cell": -43.30, "e_above_lowest_polymorph_ev_per_atom": 0.029, "cell": [[8.4535, 0.0000, 0.0000], [0.0000, 8.4535, 0.0000], [0.0000, 0.0000, 3.6281]], "species": ["Sc", "Sc", "Sc", "Sc", "Tl", "Tl", "Tl", "Tl", "Pb", "Pb"], "frac_coords": [[0.1330, 0.3670, 0.0000], [0.3670, 0.8670, 0.0000], [0.6330, 0.1330, 0.0000], [0.8670, 0.6330, 0.0000], [0.1712, 0.6712, 0.5000], [0.3288, 0.1712, 0.5000], [0.6712, 0.8288, 0.5000], [0.8288, 0.3288, 0.5000], [0.0000, 0.0000, 0.0000], [0.5000, 0.5000, 0.0000]]}

---

No. 18
{"formula": "ScTlPb", "functional": "GGA-PBE", "state": "optimized geometry", "vol_a3_per_atom": 29.57, "spacegroup": "No. 216", "magmom_total_mub_per_atom": 0.00, "dos_at_fermi_per_ev_atom": 0.314, "e_form_kj_per_mol_fu": -12.4, "energy_ev_per_cell": -12.53, "e_above_lowest_polymorph_ev_per_atom": 0.153, "cell": [[0.0000, 3.5399, 3.5399], [3.5399, 0.0000, 3.5399], [3.5399, 3.5399, 0.0000]], "species": ["Sc", "Tl", "Pb"], "frac_coords": [[0.0000, 0.0000, 0.0000], [0.2500, 0.2500, 0.2500], [0.7500, 0.7500, 0.7500]]}

---

No. 19
{"formula": "ScTlPb2", "functional": "GGA-PBE", "state": "optimized geometry", "vol_a3_per_atom": 27.92, "spacegroup": "No. 35", "magmom_total_mub_per_atom": 0.00, "dos_at_fermi_per_ev_atom": 0.861, "e_form_kj_per_mol_fu": -19.0, "energy_ev_per_cell": -16.31, "cell": [[2.5272, -2.5398, 0.0000], [2.5272, 2.5398, 0.0000], [0.0000, 0.0000, 8.6988]], "species": ["Sc", "Tl", "Pb", "Pb"], "frac_coords": [[0.0000, 0.0000, 0.0000], [0.5000, 0.5000, 0.7853], [0.0000, 0.0000, 0.5142], [0.5000, 0.5000, 0.2248]]}

---

No. 20
{"formula": "Sc6Tl5Pb", "functional": "GGA-PBE", "state": "optimized geometry", "vol_a3_per_atom": 25.02, "spacegroup": "No. 12", "magmom_total_mub_per_atom": 0.00, "dos_at_fermi_per_ev_atom": 0.760, "e_form_kj_per_mol_fu": -244.6, "energy_ev_per_cell": -56.06, "e_above_lowest_polymorph_ev_per_atom": 0.042, "cell": [[3.0433, -5.2815, 0.0000], [3.0433, 5.2815, 0.0000], [-2.0408, 0.0000, 9.3403]], "species": ["Sc", "Sc", "Sc", "Sc", "Sc", "Sc", "Tl", "Tl", "Tl", "Tl", "Tl", "Pb"], "frac_coords": [[0.0797, 0.4156, 0.7473], [0.2482, 0.2482, 0.2516], [0.4156, 0.0797, 0.7473], [0.5844, 0.9203, 0.2527], [0.7518, 0.7518, 0.7484], [0.9203, 0.5844, 0.2527], [0.0000, 0.0000, 0.5000], [0.1671, 0.8329, 0.0000], [0.3341, 0.6659, 0.5000], [0.6659, 0.3341, 0.5000], [0.8329, 0.1671, 0.0000], [0.5000, 0.5000, 0.0000]]}